Material: Dy2YMg3Pt3
Method: DFT, GGA-PBE
State: optimized geometry

a b c (Å): 4.082 7.362 7.362
angles (deg): 120.22 90.00 90.00
Fractional coordinates of all 9 atoms:
Dy 0.000 0.409 0.000
Dy 0.000 0.000 0.409
Mg 0.500 0.246 0.246
Mg 0.500 0.755 0.000
Mg 0.500 0.000 0.755
Pt 0.000 0.002 0.002
Pt 0.500 0.667 0.331
Pt 0.500 0.331 0.667
Y 0.000 0.590 0.590

Results
symmetry: Amm2, No. 38
raw total energy: -5.240 eV/atom
calculated density: 9.31 Mg/m³
M_tot: 0.001 μB/atom